Entry 1:
# YZrAg2 (PBE-GGA, optimized geometry)
data_YZrAg2
_chemical_formula_sum 'Y3 Zr3 Ag6'
_space_group_name_H-M_alt 'R -3 m'
_space_group_IT_number 166
_space_group_name_Hall '-R 3 2"'
_cell_length_a 3.2415
_cell_length_b 3.2415
_cell_length_c 29.6756
_cell_angle_alpha 90.00
_cell_angle_beta 90.00
_cell_angle_gamma 120.00
loop_
_atom_site_label
_atom_site_type_symbol
_atom_site_fract_x
_atom_site_fract_y
_atom_site_fract_z
Y1 Y 0.0000 0.0000 0.0000
Zr1 Zr 0.0000 0.0000 0.5000
Ag1 Ag 0.0000 0.0000 0.2475
# **ρ**: 7.3 g/cm3
# **Fermi-level density of states**: 13.6 states/eV per cell
# **Total magnetization**: 0.036 μB per atom
# **E_form**: 106 meV per atom
# **E above lowest polymorph**: 223.3 meV per atom
# **Total DFT energy (no corrections)**: -5.0730 eV/atom

=====

Entry 2:
# Pa2Zn3Ag (PBE-GGA, optimized geometry)
data_Pa2Zn3Ag
_chemical_formula_sum 'Pa4 Zn6 Ag2'
_space_group_name_H-M_alt 'P 63/m m c'
_space_group_IT_number 194
_space_group_name_Hall '-P 6c 2c'
_cell_length_a 5.6924
_cell_length_b 5.6924
_cell_length_c 8.3217
_cell_angle_alpha 90.00
_cell_angle_beta 90.00
_cell_angle_gamma 120.00
loop_
_atom_site_label
_atom_site_type_symbol
_atom_site_fract_x
_atom_site_fract_y
_atom_site_fract_z
Pa1 Pa 0.3333 0.6667 0.0879
Zn1 Zn 0.1745 0.3490 0.7500
Ag1 Ag 0.0000 0.0000 0.0000
# **ρ**: 10.9 g/cm3
# **Fermi-level density of states**: 14.1 states/eV per cell
# **Total magnetization**: 0.001 μB per atom
# **E_form**: -49 meV per atom
# **Total DFT energy (no corrections)**: -4.3262 eV/atom

=====

Entry 3:
# AgSnPS2 (PBE-GGA, optimized geometry)
data_AgSnPS2
_chemical_formula_sum 'Ag1 Sn1 P1 S2'
_space_group_name_H-M_alt 'P 4/m m m'
_space_group_IT_number 123
_space_group_name_Hall '-P 4 2'
_cell_length_a 5.051
_cell_length_b 5.051
_cell_length_c 5.059
_cell_angle_alpha 90.00
_cell_angle_beta 90.00
_cell_angle_gamma 90.00
loop_
_atom_site_label
_atom_site_type_symbol
_atom_site_fract_x
_atom_site_fract_y
_atom_site_fract_z
Ag1 Ag 0.000 0.000 0.000
Sn1 Sn 0.500 0.500 0.500
P1 P 0.500 0.500 0.000
S1 S 0.000 0.500 0.500
# **ρ**: 4.1 g/cm3
# **Fermi-level density of states**: 3.2 states/eV per cell
# **Total magnetization**: 0.293 μB per atom
# **E above lowest polymorph**: 108.3 meV per atom
# **Total DFT energy (no corrections)**: -3.3499 eV/atom

=====

Entry 4:
# W2BrCl (PBE-GGA, optimized geometry)
data_W2BrCl
_chemical_formula_sum 'W4 Br2 Cl2'
_space_group_name_H-M_alt 'C 1 m 1'
_space_group_IT_number 8
_space_group_name_Hall 'C -2y'
_cell_length_a 5.616
_cell_length_b 3.243
_cell_length_c 9.959
_cell_angle_alpha 90.00
_cell_angle_beta 105.26
_cell_angle_gamma 90.00
loop_
_atom_site_label
_atom_site_type_symbol
_atom_site_fract_x
_atom_site_fract_y
_atom_site_fract_z
W1 W 0.000 0.000 0.000
W2 W 0.246 0.000 0.812
Br1 Br 0.430 0.000 0.206
Cl1 Cl 0.324 0.500 0.622
# **ρ**: 9.2 g/cm3
# **Fermi-level density of states**: 2.9 states/eV per cell
# **Total magnetization**: 0.000 μB per atom
# **E above lowest polymorph**: 0.0 meV per atom
# **Total DFT energy (no corrections)**: -7.4266 eV/atom

=====

Entry 5:
# BaSm2Dy (PBE-GGA, optimized geometry)
data_BaSm2Dy
_chemical_formula_sum 'Ba3 Sm6 Dy3'
_space_group_name_H-M_alt 'R -3 m'
_space_group_IT_number 166
_space_group_name_Hall '-R 3 2"'
_cell_length_a 3.6517
_cell_length_b 3.6517
_cell_length_c 39.0355
_cell_angle_alpha 90.00
_cell_angle_beta 90.00
_cell_angle_gamma 120.00
loop_
_atom_site_label
_atom_site_type_symbol
_atom_site_fract_x
_atom_site_fract_y
_atom_site_fract_z
Ba1 Ba 0.0000 0.0000 0.0000
Sm1 Sm 0.0000 0.0000 0.0938
Dy1 Dy 0.0000 0.0000 0.5000
# **ρ**: 6.6 g/cm3
# **Fermi-level density of states**: 15.6 states/eV per cell
# **Total magnetization**: 0.000 μB per atom
# **E_form**: 204 meV per atom
# **E above lowest polymorph**: 75.9 meV per atom
# **Total DFT energy (no corrections)**: -3.7868 eV/atom

=====

Entry 6:
# NaLaCr2Cu (PBE-GGA, optimized geometry)
data_NaLaCr2Cu
_chemical_formula_sum 'Na1 La1 Cr2 Cu1'
_space_group_name_H-M_alt 'P 4/m m m'
_space_group_IT_number 123
_space_group_name_Hall '-P 4 2'
_cell_length_a 4.932
_cell_length_b 4.932
_cell_length_c 5.824
_cell_angle_alpha 90.00
_cell_angle_beta 90.00
_cell_angle_gamma 90.00
loop_
_atom_site_label
_atom_site_type_symbol
_atom_site_fract_x
_atom_site_fract_y
_atom_site_fract_z
Na1 Na 0.000 0.000 0.000
La1 La 0.000 0.000 0.500
Cr1 Cr 0.000 0.500 0.000
Cu1 Cu 0.500 0.500 0.500
# **ρ**: 3.9 g/cm3
# **Fermi-level density of states**: 4.8 states/eV per cell
# **Total magnetization**: 1.820 μB per atom
# **E_form**: 1611 meV per atom
# **Total DFT energy (no corrections)**: -4.3070 eV/atom

=====

Look up the Fermi-level density of states of the sixth one.
4.8 states/eV per cell